[1]
DFT (PBE-GGA) results for crystalline Nb2NiHgGe at its relaxed geometry.

## Properties
For the formation energy, the calculation gives 2108 meV per atom.

Cell lengths 5.143, 5.143, 4.787 Å; angles 90.00, 90.00, 90.00 degrees
Space group P4/mmm (No. 123)
Inequivalent atoms, fractional coordinates:
Nb: 0.000 0.500 0.000 [2 per cell]
Ni: 0.000 0.000 0.500 [1 per cell]
Hg: 0.500 0.500 0.000 [1 per cell]
Ge: 0.500 0.500 0.500 [1 per cell]



[2]
DFT (PBE-GGA) results for crystalline Nd2Hg3Ge2 at its relaxed geometry.

## Properties
For the formation energy, the calculation gives -456 meV per atom.

Cell lengths 10.738, 4.455, 7.283 Å; angles 90.00, 97.75, 90.00 degrees
Space group C2/m (No. 12)
Inequivalent atoms, fractional coordinates:
Nd: 0.120 0.000 0.323 [4 per cell]
Hg: 0.000 0.500 0.000 [2 per cell]
Hg: 0.193 0.000 0.861 [4 per cell]
Ge: 0.096 0.500 0.614 [4 per cell]



[3]
DFT (PBE-GGA) results for crystalline Nd4Hg2Ge at its relaxed geometry.

## Properties
For the formation energy, the calculation gives -403 meV per atom.

Cell lengths 7.414, 10.703, 5.299 Å; angles 90.00, 90.00, 90.00 degrees
Space group Cmmm (No. 65)
Inequivalent atoms, fractional coordinates:
Nd: 0.242 0.000 0.000 [4 per cell]
Nd: 0.250 0.250 0.500 [4 per cell]
Hg: 0.000 0.261 0.000 [4 per cell]
Ge: 0.000 0.000 0.500 [2 per cell]



[4]
DFT (PBE-GGA) results for crystalline NdHgGe at its relaxed geometry.

## Properties
For the formation energy, the calculation gives -426 meV per atom.

Cell lengths 6.104, 4.571, 6.608 Å; angles 90.00, 117.23, 90.00 degrees
Space group P2_1/m (No. 11)
Inequivalent atoms, fractional coordinates:
Nd: 0.172 0.250 0.333 [2 per cell]
Hg: 0.382 0.750 0.113 [2 per cell]
Ge: 0.316 0.750 0.663 [2 per cell]



[5]
DFT (PBE-GGA) results for crystalline NdHgGe at its relaxed geometry.

## Properties
For the formation energy, the calculation gives -578 meV per atom.

Cell lengths 4.278, 17.278, 4.066 Å; angles 90.00, 90.00, 90.00 degrees
Space group Cmcm (No. 63)
Inequivalent atoms, fractional coordinates:
Nd: 0.000 0.098 0.250 [4 per cell]
Hg: 0.000 0.285 0.250 [4 per cell]
Ge: 0.000 0.453 0.250 [4 per cell]



[6]
DFT (PBE-GGA) results for crystalline Nd8HgGe5 at its relaxed geometry.

## Properties
For the formation energy, the calculation gives -722 meV per atom.

Cell lengths 9.213, 9.213, 9.231 Å; angles 90.00, 90.00, 90.00 degrees
Space group I-4 (No. 82)
Inequivalent atoms, fractional coordinates:
Nd: 0.067 0.326 0.441 [8 per cell]
Nd: 0.071 0.188 0.815 [8 per cell]
Hg: 0.000 0.000 0.500 [2 per cell]
Ge: 0.000 0.500 0.750 [2 per cell]
Ge: 0.128 0.248 0.128 [8 per cell]



[7]
DFT (PBE-GGA) results for crystalline NdHgGe at its relaxed geometry.

## Properties
For the formation energy, the calculation gives -523 meV per atom.

Cell lengths 4.5041, 4.5041, 4.2747 Å; angles 90.00, 90.00, 120.00 degrees
Space group P3m1 (No. 156)
Inequivalent atoms, fractional coordinates:
Nd: 0.0000 0.0000 0.0000 [1 per cell]
Hg: 0.6667 0.3333 0.5671 [1 per cell]
Ge: 0.3333 0.6667 0.4001 [1 per cell]



[8]
DFT (PBE-GGA) results for crystalline Nd3HgGe at its relaxed geometry.

## Properties
For the formation energy, the calculation gives -429 meV per atom.

Cell lengths 5.850, 7.034, 9.053 Å; angles 112.75, 90.07, 114.49 degrees
Space group P-1 (No. 2)
Inequivalent atoms, fractional coordinates:
Nd: 0.117 0.232 0.397 [2 per cell]
Nd: 0.338 0.678 0.867 [2 per cell]
Nd: 0.376 0.751 0.252 [2 per cell]
Hg: 0.110 0.220 0.951 [2 per cell]
Ge: 0.370 0.743 0.568 [2 per cell]



[9]
DFT (PBE-GGA) results for crystalline Nd7HgGe5 at its relaxed geometry.

## Properties
For the formation energy, the calculation gives -519 meV per atom.

Cell lengths 6.272, 11.184, 10.195 Å; angles 90.00, 90.00, 90.00 degrees
Space group Imm2 (No. 44)
Inequivalent atoms, fractional coordinates:
Nd: 0.000 0.000 0.000 [2 per cell]
Nd: 0.000 0.000 0.385 [2 per cell]
Nd: 0.000 0.318 0.680 [4 per cell]
Nd: 0.000 0.332 0.119 [4 per cell]
Nd: 0.000 0.500 0.366 [2 per cell]
Hg: 0.000 0.000 0.691 [2 per cell]
Ge: 0.000 0.500 0.890 [2 per cell]
Ge: 0.211 0.261 0.408 [8 per cell]



[10]
DFT (PBE-GGA) results for crystalline Nd5Hg2Ge at its relaxed geometry.

## Properties
For the formation energy, the calculation gives -430 meV per atom.

Cell lengths 6.836, 13.042, 5.265 Å; angles 90.00, 90.00, 90.00 degrees
Space group Pbam (No. 55)
Inequivalent atoms, fractional coordinates:
Nd: 0.000 0.000 0.000 [2 per cell]
Nd: 0.150 0.401 0.500 [4 per cell]
Nd: 0.156 0.715 0.000 [4 per cell]
Hg: 0.101 0.151 0.500 [4 per cell]
Ge: 0.000 0.500 0.000 [2 per cell]



[11]
DFT (PBE-GGA) results for crystalline NdHgGe at its relaxed geometry.

## Properties
For the formation energy, the calculation gives -275 meV per atom.

Cell lengths 4.148, 4.148, 9.064 Å; angles 90.00, 90.00, 90.00 degrees
Space group I4mm (No. 107)
Inequivalent atoms, fractional coordinates:
Nd: 0.000 0.000 0.000 [2 per cell]
Hg: 0.000 0.000 0.332 [2 per cell]
Ge: 0.000 0.000 0.651 [2 per cell]



[12]
DFT (PBE-GGA) results for crystalline Nd5Hg4Ge at its relaxed geometry.

## Properties
For the formation energy, the calculation gives -502 meV per atom.

Cell lengths 3.779, 3.779, 19.389 Å; angles 90.00, 90.00, 90.00 degrees
Space group P4/mmm (No. 123)
Inequivalent atoms, fractional coordinates:
Nd: 0.000 0.000 0.000 [1 per cell]
Nd: 0.000 0.000 0.203 [2 per cell]
Nd: 0.000 0.000 0.407 [2 per cell]
Hg: 0.500 0.500 0.102 [2 per cell]
Hg: 0.500 0.500 0.302 [2 per cell]
Ge: 0.500 0.500 0.500 [1 per cell]



[13]
DFT (PBE-GGA) results for crystalline Nd4Hg3Ge at its relaxed geometry.

## Properties
For the formation energy, the calculation gives -533 meV per atom.

Cell lengths 5.3786, 5.3786, 26.2926 Å; angles 90.00, 90.00, 120.00 degrees
Space group R-3m (No. 166, hexagonal axes)
Inequivalent atoms, fractional coordinates:
Nd: 0.0000 0.0000 0.1181 [6 per cell]
Nd: 0.0000 0.0000 0.3697 [6 per cell]
Hg: 0.0000 0.0000 0.2410 [6 per cell]
Hg: 0.0000 0.0000 0.5000 [3 per cell]
Ge: 0.0000 0.0000 0.0000 [3 per cell]



[14]
DFT (PBE-GGA) results for crystalline NdHgGe at its relaxed geometry.

## Properties
For the formation energy, the calculation gives -376 meV per atom.

Cell lengths 6.848, 6.848, 6.848 Å; angles 90.00, 90.00, 90.00 degrees
Space group F-43m (No. 216)
Inequivalent atoms, fractional coordinates:
Nd: 0.000 0.000 0.000 [4 per cell]
Hg: 0.000 0.000 0.500 [4 per cell]
Ge: 0.250 0.250 0.250 [4 per cell]



[15]
DFT (PBE-GGA) results for crystalline Nd12Hg6Ge at its relaxed geometry.

## Properties
For the formation energy, the calculation gives -271 meV per atom.

Cell lengths 12.3363, 12.3363, 13.6650 Å; angles 90.00, 90.00, 120.00 degrees
Space group R-3 (No. 148, hexagonal axes)
Inequivalent atoms, fractional coordinates:
Nd: 0.0337 0.1949 0.3672 [18 per cell]
Nd: 0.0454 0.8506 0.8923 [18 per cell]
Hg: 0.0011 0.4048 0.2388 [18 per cell]
Ge: 0.0000 0.0000 0.5000 [3 per cell]



[16]
DFT (PBE-GGA) results for crystalline Nd4HgGeO at its relaxed geometry.

## Properties
The raw formation energy comes out at -1.141 eV per atom.

Cell lengths 6.744, 16.259, 6.757 Å; angles 90.00, 90.00, 90.00 degrees
Space group Cmcm (No. 63)
Inequivalent atoms, fractional coordinates:
Nd: 0.000 0.071 0.250 [4 per cell]
Nd: 0.000 0.424 0.250 [4 per cell]
Nd: 0.250 0.250 0.000 [8 per cell]
Hg: 0.000 0.387 0.750 [4 per cell]
Ge: 0.000 0.115 0.750 [4 per cell]
O: 0.000 0.255 0.250 [4 per cell]



[17]
DFT (PBE-GGA) results for crystalline NdPaHgGe at its relaxed geometry.

## Properties
For the formation energy, the calculation gives -194 meV per atom.

Cell lengths 7.409, 7.409, 7.409 Å; angles 90.00, 90.00, 90.00 degrees
Space group F-43m (No. 216)
Inequivalent atoms, fractional coordinates:
Nd: 0.000 0.000 0.000 [4 per cell]
Pa: 0.000 0.000 0.500 [4 per cell]
Hg: 0.250 0.250 0.250 [4 per cell]
Ge: 0.250 0.250 0.750 [4 per cell]



[18]
DFT (PBE-GGA) results for crystalline NdHgGePb at its relaxed geometry.

## Properties
For the formation energy, the calculation gives -258 meV per atom.

Cell lengths 7.525, 7.525, 7.525 Å; angles 90.00, 90.00, 90.00 degrees
Space group F-43m (No. 216)
Inequivalent atoms, fractional coordinates:
Nd: 0.000 0.000 0.000 [4 per cell]
Hg: 0.250 0.250 0.750 [4 per cell]
Ge: 0.250 0.250 0.250 [4 per cell]
Pb: 0.000 0.000 0.500 [4 per cell]



[19]
DFT (PBE-GGA) results for crystalline Nd2HgGe4Pd3 at its relaxed geometry.

## Properties
For the formation energy, the calculation gives -680 meV per atom.

Cell lengths 4.367, 4.367, 10.562 Å; angles 90.00, 90.00, 90.00 degrees
Space group P-4m2 (No. 115)
Inequivalent atoms, fractional coordinates:
Nd: 0.000 0.500 0.242 [2 per cell]
Hg: 0.000 0.000 0.500 [1 per cell]
Ge: 0.000 0.000 0.000 [1 per cell]
Ge: 0.000 0.500 0.648 [2 per cell]
Ge: 0.500 0.500 0.000 [1 per cell]
Pd: 0.000 0.500 0.879 [2 per cell]
Pd: 0.500 0.500 0.500 [1 per cell]



[20]
DFT (PBE-GGA) results for crystalline Nd2Hg2GePd4 at its relaxed geometry.

## Properties
For the formation energy, the calculation gives -284 meV per atom.

Cell lengths 6.384, 6.384, 10.007 Å; angles 90.00, 90.00, 90.00 degrees
Space group I4/mmm (No. 139)
Inequivalent atoms, fractional coordinates:
Nd: 0.000 0.000 0.208 [4 per cell]
Hg: 0.000 0.500 0.250 [4 per cell]
Ge: 0.000 0.000 0.500 [2 per cell]
Pd: 0.229 0.229 0.000 [8 per cell]



[21]
DFT (PBE-GGA) results for crystalline Nd2HgGe3Pd4 at its relaxed geometry.

## Properties
For the formation energy, the calculation gives -706 meV per atom.

Cell lengths 4.357, 4.357, 10.616 Å; angles 90.00, 90.00, 90.00 degrees
Space group P-4m2 (No. 115)
Inequivalent atoms, fractional coordinates:
Nd: 0.000 0.500 0.245 [2 per cell]
Hg: 0.000 0.000 0.500 [1 per cell]
Ge: 0.000 0.500 0.878 [2 per cell]
Ge: 0.500 0.500 0.500 [1 per cell]
Pd: 0.000 0.000 0.000 [1 per cell]
Pd: 0.000 0.500 0.650 [2 per cell]
Pd: 0.500 0.500 0.000 [1 per cell]



[22]
DFT (PBE-GGA) results for crystalline NdPuHgGe at its relaxed geometry.

## Properties
For the formation energy, the calculation gives -385 meV per atom.

Cell lengths 7.457, 7.457, 7.457 Å; angles 90.00, 90.00, 90.00 degrees
Space group F-43m (No. 216)
Inequivalent atoms, fractional coordinates:
Nd: 0.000 0.000 0.000 [4 per cell]
Pu: 0.000 0.000 0.500 [4 per cell]
Hg: 0.250 0.250 0.250 [4 per cell]
Ge: 0.250 0.250 0.750 [4 per cell]



[23]
DFT (PBE-GGA) results for crystalline NdScHgGe at its relaxed geometry.

## Properties
For the formation energy, the calculation gives -504 meV per atom.

Cell lengths 7.232, 7.232, 7.232 Å; angles 90.00, 90.00, 90.00 degrees
Space group F-43m (No. 216)
Inequivalent atoms, fractional coordinates:
Nd: 0.000 0.000 0.000 [4 per cell]
Sc: 0.000 0.000 0.500 [4 per cell]
Hg: 0.250 0.250 0.250 [4 per cell]
Ge: 0.250 0.250 0.750 [4 per cell]



[24]
DFT (PBE-GGA) results for crystalline Nd6HgGe2Se3 at its relaxed geometry.

## Properties
The raw formation energy comes out at -1.296 eV per atom.

Cell lengths 18.868, 4.286, 8.681 Å; angles 90.00, 105.63, 90.00 degrees
Space group C2/m (No. 12)
Inequivalent atoms, fractional coordinates:
Nd: 0.000 0.000 0.233 [4 per cell]
Nd: 0.170 0.500 0.075 [4 per cell]
Nd: 0.172 0.500 0.591 [4 per cell]
Hg: 0.000 0.500 0.500 [2 per cell]
Ge: 0.164 0.000 0.827 [4 per cell]
Se: 0.000 0.500 0.000 [2 per cell]
Se: 0.167 0.000 0.331 [4 per cell]



Result set for total moment: 0.00, 0.00, 0.01, 0.00, 0.00, 0.00, 0.00, 0.00, 0.00, 0.00, 0.00, 1.27, 1.63, 0.00, 0.00, 0.00, 6.34, 0.00, 0.00, 0.00, 0.00, 26.86, 0.00, 0.00 Bohr magnetons per cell, one per record in the order listed.